VASP calculation (PBE) on Sc3AgP after structural relaxation.

Summary:
The value obtained for the total energy is -5.87 eV/atom. The calculation puts the formation energy at -0.4222 eV/atom. The value obtained for the density of states at the Fermi level is 8.9 states/eV per cell.

Cell: 4.891 4.891 4.891 Å, 90.00 90.00 90.00°
Element x y z (fractional)
Ag 0.500 0.500 0.500
P 0.000 0.000 0.000
Sc 0.000 0.000 0.500
Sc 0.500 0.000 0.000
Sc 0.000 0.500 0.000